The following is a PBE+U calculation of crystalline TaFe2CO at its relaxed geometry, from Alexandria via LeMat-Bulk.

* uncorrected energy: -33.504 eV/cell
* density: 8.12 g cm⁻³

Unit cell a=3.5754 b=3.5754 c=5.1321 alpha=90.00 beta=90.00 gamma=90.00
Space group P4/mmm (No. 123)
Inequivalent atoms, fractional coordinates:
Ta (0.0000, 0.0000, 0.0000) x1
Fe (0.0000, 0.5000, 0.5000) x2
C (0.5000, 0.5000, 0.0000) x1
O (0.5000, 0.5000, 0.5000) x1